Entry from Alexandria via LeMat-Bulk: a relaxed CsK2WF8 crystal (PBE+U).

abc: 4.7942 6.2379 8.8051
angles: 90.01 89.95 99.61
With the nearest neighbours (Å) after each atom.
Fractional coordinates of all 12 atoms:
Cs: 0.0000 0.0000 0.5000  4 F 2.88-2.98
K: 0.4989 0.5004 0.7228  2 F 2.48
K: 0.5011 0.4996 0.2772  2 F 2.48
W: 0.0000 0.0000 0.0000  6 F 1.94-1.95
F: 0.0972 0.8109 0.1605  1 W 1.95
F: 0.6368 0.8079 0.9998  1 W 1.94
F: 0.9020 0.1888 0.1607  1 W 1.95
F: 0.9028 0.1891 0.8395  1 W 1.95
F: 0.3632 0.1921 0.0002  1 W 1.94
F: 0.0980 0.8112 0.8393  1 W 1.95
F: 0.4274 0.7269 0.4997  2 K 2.48
F: 0.5726 0.2731 0.5003  2 K 2.48

For the energy, the calculation gives -58.099 eV/cell.